Material: Tb2In3Ru2
Method: DFT, PBE
State: relaxed

Cell lengths 3.922, 3.646, 12.102 Å; angles 90.00, 99.16, 90.00 degrees
Positions (direct):
1 Tb 0.082 0.000 0.166
2 Tb 0.918 0.000 0.834
3 In 0.200 0.500 0.404
4 In 0.500 0.500 0.000
5 In 0.800 0.500 0.596
6 Ru 0.380 0.500 0.755
7 Ru 0.620 0.500 0.245

* crystal system: monoclinic

Material: LaSc2W
Method: DFT, PBE
State: relaxed

Cell lengths 3.093, 3.093, 10.551 Å; angles 90.00, 90.00, 110.74 degrees
Positions (direct):
1 La 0.000 0.000 0.000
2 Sc 0.500 0.500 0.298
3 Sc 0.500 0.500 0.702
4 W 0.000 0.000 0.500

* crystal system: orthorhombic

Material: MgPtAu
Method: DFT, PBE
State: relaxed

Cell lengths 4.270, 4.270, 4.270 Å; angles 118.37, 118.37, 92.84 degrees
Positions (direct):
1 Mg 0.000 0.000 0.000
2 Pt 0.750 0.250 0.500
3 Au 0.250 0.750 0.500

* crystal system: tetragonal
* energy above the most stable polymorph in this dataset: 281 meV/atom

Material: Be6AlIr
Method: DFT, PBE
State: relaxed

Cell lengths 4.348, 4.348, 4.348 Å; angles 90.00, 90.00, 90.00 degrees
Positions (direct):
1 Be 0.000 0.259 0.500
2 Be 0.000 0.741 0.500
3 Be 0.259 0.500 0.000
4 Be 0.500 0.000 0.259
5 Be 0.500 0.000 0.741
6 Be 0.741 0.500 0.000
7 Al 0.000 0.000 0.000
8 Ir 0.500 0.500 0.500

* crystal system: cubic

| no. | energy relative to the elements (meV/atom) |
| --- | --- |
| 1 | -92 |
| 2 | 305 |
| 3 | -279 |
| 4 | -15 |